[1]
Density functional theory data (PBE) for crystalline Y2Cd5Ag at its relaxed geometry.

* electronic total energy: -2.622 eV per atom
* E_form: -0.077 eV/atom

Cell: 4.6883 4.6883 33.0241 Å, 90.00 90.00 120.00°
Space group R-3m (No. 166, hexagonal axes)
Asymmetric unit:
Y 0.0000 0.0000 0.0917 x6
Cd 0.0000 0.0000 0.1960 x6
Cd 0.0000 0.0000 0.3649 x6
Cd 0.0000 0.0000 0.5000 x3
Ag 0.0000 0.0000 0.0000 x3

***

[2]
Density functional theory data (PBE) for crystalline Y3CdAg4 at its relaxed geometry.

* electronic total energy: -4.255 eV per atom
* E_form: -0.291 eV/atom

Cell: 5.0475 5.0475 24.9954 Å, 90.00 90.00 120.00°
Space group R-3m (No. 166, hexagonal axes)
Asymmetric unit:
Y 0.0000 0.0000 0.0000 x3
Y 0.0000 0.0000 0.2448 x6
Cd 0.0000 0.0000 0.5000 x3
Ag 0.0000 0.0000 0.1234 x6
Ag 0.0000 0.0000 0.3725 x6

***

[3]
Density functional theory data (PBE) for crystalline YCd12Ag6 at its relaxed geometry.

* electronic total energy: -1.815 eV per atom
* E_form: 0.004 eV/atom

Cell: 12.6218 12.6218 9.3434 Å, 90.00 90.00 120.00°
Space group R-3m (No. 166, hexagonal axes)
Asymmetric unit:
Y 0.0000 0.0000 0.0000 x3
Cd 0.0000 0.3867 0.5000 x18
Cd 0.0823 0.1645 0.2872 x18
Ag 0.0642 0.5321 0.2325 x18

***

[4]
Density functional theory data (PBE) for crystalline Y6Cd3Ag at its relaxed geometry.

* electronic total energy: -4.670 eV per atom
* E_form: -0.232 eV/atom

Cell: 9.196 5.337 11.722 Å, 90.00 109.58 90.00°
Space group P2_1/m (No. 11)
Asymmetric unit:
Y 0.032 0.250 0.412 x2
Y 0.165 0.750 0.173 x2
Y 0.254 0.250 0.005 x2
Y 0.349 0.750 0.817 x2
Y 0.369 0.250 0.344 x2
Y 0.396 0.250 0.634 x2
Cd 0.026 0.750 0.875 x2
Cd 0.106 0.250 0.718 x2
Cd 0.271 0.750 0.475 x2
Ag 0.450 0.750 0.098 x2

***

[5]
Density functional theory data (PBE) for crystalline Y4CdAg at its relaxed geometry.

* relative energy among the computed polymorphs: 586 meV per atom
* electronic total energy: -4.554 eV per atom
* E_form: 0.383 eV/atom

Cell: 8.900 8.900 8.900 Å, 90.00 90.00 90.00°
Space group F-43m (No. 216)
Asymmetric unit:
Y 0.125 0.125 0.125 x16
Cd 0.000 0.000 0.500 x4
Ag 0.250 0.250 0.750 x4

***

[6]
Density functional theory data (PBE) for crystalline Y2Cd6Ag3 at its relaxed geometry.

* electronic total energy: -2.563 eV per atom
* E_form: -0.111 eV/atom

Cell: 8.0137 8.0137 4.6601 Å, 90.00 90.00 120.00°
Space group P-62m (No. 189)
Asymmetric unit:
Y 0.3333 0.6667 0.0000 x2
Cd 0.0000 0.2138 0.0000 x3
Cd 0.0000 0.7459 0.5000 x3
Ag 0.0000 0.4115 0.5000 x3

***

[7]
Density functional theory data (PBE) for crystalline Y3Cd2Ag4 at its relaxed geometry.

* relative energy among the computed polymorphs: 0 meV per atom
* electronic total energy: -3.916 eV per atom
* E_form: -0.290 eV/atom

Cell: 10.915 4.817 9.058 Å, 90.00 119.74 90.00°
Space group C2/m (No. 12)
Asymmetric unit:
Y 0.000 0.000 0.000 x2
Y 0.158 0.500 0.679 x4
Cd 0.129 0.500 0.295 x4
Ag 0.062 0.000 0.396 x4
Ag 0.226 0.500 0.060 x4

***

[8]
Density functional theory data (PBE) for crystalline Y6CdAg2 at its relaxed geometry.

* electronic total energy: -5.240 eV per atom
* E_form: -0.196 eV/atom

Cell: 9.792 10.053 10.288 Å, 90.00 90.00 90.00°
Space group Immm (No. 71)
Asymmetric unit:
Y 0.000 0.218 0.176 x8
Y 0.180 0.227 0.500 x8
Y 0.199 0.500 0.255 x8
Cd 0.000 0.500 0.000 x2
Cd 0.000 0.500 0.500 x2
Ag 0.000 0.000 0.367 x4
Ag 0.146 0.000 0.000 x4

***

[9]
Density functional theory data (PBE) for crystalline YCd6Ag at its relaxed geometry.

* relative energy among the computed polymorphs: 0 meV per atom
* electronic total energy: -2.007 eV per atom
* E_form: -0.156 eV/atom

Cell: 4.656 4.656 8.228 Å, 90.00 90.00 90.00°
Space group P4/mmm (No. 123)
Asymmetric unit:
Y 0.000 0.000 0.000 x1
Cd 0.000 0.500 0.265 x4
Cd 0.500 0.500 0.000 x1
Cd 0.500 0.500 0.500 x1
Ag 0.000 0.000 0.500 x1

***

[10]
Density functional theory data (PBE) for crystalline YCd3Ag2 at its relaxed geometry.

* electronic total energy: -2.657 eV per atom
* E_form: -0.171 eV/atom

Cell: 17.411 4.414 7.362 Å, 90.00 108.70 90.00°
Space group C2/m (No. 12)
Asymmetric unit:
Y 0.112 0.000 0.158 x4
Cd 0.071 0.000 0.674 x4
Cd 0.130 0.500 0.486 x4
Cd 0.194 0.500 0.915 x4
Ag 0.018 0.500 0.832 x4
Ag 0.240 0.000 0.665 x4

***

[11]
Density functional theory data (PBE) for crystalline Y3Cd2Ag4 at its relaxed geometry.

* relative energy among the computed polymorphs: 30 meV per atom
* electronic total energy: -3.886 eV per atom
* E_form: -0.260 eV/atom

Cell: 8.775 5.064 9.191 Å, 90.00 90.10 90.00°
Space group C2/m (No. 12)
Asymmetric unit:
Y 0.000 0.000 0.000 x2
Y 0.167 0.500 0.400 x4
Cd 0.167 0.500 0.765 x4
Ag 0.000 0.000 0.342 x4
Ag 0.167 0.500 0.075 x4

***

[12]
Density functional theory data (PBE) for crystalline YCd6Ag6 at its relaxed geometry.

* electronic total energy: -2.345 eV per atom
* E_form: -0.110 eV/atom

Cell: 5.603 9.747 9.919 Å, 90.00 90.00 90.00°
Space group Immm (No. 71)
Asymmetric unit:
Y 0.000 0.000 0.000 x2
Cd 0.000 0.000 0.345 x4
Cd 0.000 0.344 0.000 x4
Cd 0.000 0.500 0.309 x4
Ag 0.000 0.276 0.500 x4
Ag 0.250 0.250 0.250 x8

***

[13]
Density functional theory data (PBE) for crystalline Y2CdAg2 at its relaxed geometry.

* relative energy among the computed polymorphs: 228 meV per atom
* electronic total energy: -4.001 eV per atom
* E_form: -0.092 eV/atom

Cell: 3.843 3.843 17.292 Å, 90.00 90.00 90.00°
Space group I4/mmm (No. 139)
Asymmetric unit:
Y 0.000 0.000 0.106 x4
Cd 0.000 0.000 0.500 x2
Ag 0.000 0.500 0.250 x4

***

[14]
Density functional theory data (PBE) for crystalline Y2Cd5Ag4 at its relaxed geometry.

* electronic total energy: -2.763 eV per atom
* E_form: -0.135 eV/atom

Cell: 5.795 9.363 18.784 Å, 90.00 90.00 90.00°
Space group Fmmm (No. 69)
Asymmetric unit:
Y 0.000 0.000 0.118 x8
Cd 0.000 0.000 0.500 x4
Cd 0.250 0.250 0.000 x8
Cd 0.250 0.250 0.250 x8
Ag 0.000 0.158 0.369 x16

***

[15]
Density functional theory data (PBE) for crystalline YCd2Ag9 at its relaxed geometry.

* electronic total energy: -2.855 eV per atom
* E_form: -0.025 eV/atom

Cell: 5.5889 5.5889 27.2076 Å, 90.00 90.00 120.00°
Space group R-3m (No. 166, hexagonal axes)
Asymmetric unit:
Y 0.0000 0.0000 0.0000 x3
Cd 0.0000 0.0000 0.1425 x6
Ag 0.0000 0.0000 0.3336 x6
Ag 0.0000 0.0000 0.5000 x3
Ag 0.0040 0.5020 0.9147 x18

***

[16]
Density functional theory data (PBE) for crystalline Y2Cd2Ag at its relaxed geometry.

* relative energy among the computed polymorphs: 238 meV per atom
* electronic total energy: -3.510 eV per atom
* E_form: 0.012 eV/atom

Cell: 7.948 7.948 4.447 Å, 90.00 90.00 90.00°
Space group P4/mbm (No. 127)
Asymmetric unit:
Y 0.157 0.343 0.000 x4
Cd 0.142 0.642 0.500 x4
Ag 0.000 0.000 0.000 x2

***

[17]
Density functional theory data (PBE) for crystalline Y3CdAg2 at its relaxed geometry.

* electronic total energy: -4.670 eV per atom
* E_form: -0.335 eV/atom

Cell: 3.679 3.679 11.046 Å, 90.00 90.00 90.00°
Space group P4/mmm (No. 123)
Asymmetric unit:
Y 0.000 0.000 0.000 x1
Y 0.000 0.000 0.327 x2
Cd 0.500 0.500 0.500 x1
Ag 0.500 0.500 0.166 x2

***

[18]
Density functional theory data (PBE) for crystalline Y2Cd3Ag3 at its relaxed geometry.

* electronic total energy: -3.318 eV per atom
* E_form: -0.289 eV/atom

Cell: 4.9888 4.9888 24.3024 Å, 90.00 90.00 120.00°
Space group R3m (No. 160, hexagonal axes)
Asymmetric unit:
Y 0.0000 0.0000 0.0000 x3
Y 0.0000 0.0000 0.4947 x3
Cd 0.0000 0.0000 0.2485 x3
Cd 0.0000 0.0000 0.7462 x3
Cd 0.0000 0.0000 0.8726 x3
Ag 0.0000 0.0000 0.1245 x3
Ag 0.0000 0.0000 0.3707 x3
Ag 0.0000 0.0000 0.6218 x3

***

[19]
Density functional theory data (PBE) for crystalline YCd3Ag7 at its relaxed geometry.

* electronic total energy: -2.567 eV per atom
* E_form: 0.085 eV/atom

Cell: 9.597 9.600 5.648 Å, 90.00 111.83 90.00°
Space group C2/m (No. 12)
Asymmetric unit:
Y 0.000 0.000 0.000 x2
Cd 0.000 0.289 0.500 x4
Cd 0.000 0.500 0.000 x2
Ag 0.000 0.000 0.500 x2
Ag 0.192 0.268 0.195 x8
Ag 0.215 0.500 0.538 x4

***

[20]
Density functional theory data (PBE) for crystalline YCd5Ag6 at its relaxed geometry.

* electronic total energy: -2.439 eV per atom
* E_form: -0.093 eV/atom

Cell: 9.496 13.053 4.416 Å, 90.00 117.62 90.00°
Space group C2/m (No. 12)
Asymmetric unit:
Y 0.000 0.000 0.000 x2
Cd 0.000 0.169 0.500 x4
Cd 0.000 0.329 0.000 x4
Cd 0.000 0.500 0.500 x2
Ag 0.241 0.500 0.242 x4
Ag 0.243 0.333 0.744 x8

***

[21]
Density functional theory data (PBE) for crystalline Y4CdAg3 at its relaxed geometry.

* relative energy among the computed polymorphs: 0 meV per atom
* electronic total energy: -4.745 eV per atom
* E_form: -0.329 eV/atom

Cell: 3.663 5.203 10.389 Å, 90.00 90.00 90.00°
Space group Pmmm (No. 47)
Asymmetric unit:
Y 0.000 0.000 0.000 x1
Y 0.000 0.000 0.500 x1
Y 0.000 0.500 0.245 x2
Cd 0.500 0.500 0.500 x1
Ag 0.500 0.000 0.253 x2
Ag 0.500 0.500 0.000 x1

***

[22]
Density functional theory data (PBE) for crystalline Y2CdAg2 at its relaxed geometry.

* relative energy among the computed polymorphs: 212 meV per atom
* electronic total energy: -4.017 eV per atom
* E_form: -0.108 eV/atom

Cell: 8.462 8.462 3.581 Å, 90.00 90.00 90.00°
Space group P4/mbm (No. 127)
Asymmetric unit:
Y 0.159 0.341 0.000 x4
Cd 0.000 0.000 0.000 x2
Ag 0.132 0.632 0.500 x4